Compound: BaSrMn2I8
Source: the Alexandria database
Functional: PBE
Structure: optimized geometry

formation energy without anion corrections	-1.001	eV per atom
total magnetic moment	10.00	μB/f.u.
DOS(E_F)	0.00	states/eV/f.u.
calculated density	4.2	g/cm³

```
data_BaSrMn2I8
_space_group_name_H-M_alt 'P -3'
_space_group_IT_number 147
_cell_length_a 7.5503
_cell_length_b 7.5503
_cell_length_c 10.9307
_cell_angle_alpha 90.00
_cell_angle_beta 90.00
_cell_angle_gamma 120.00
loop_
_space_group_symop_operation_xyz
'x,y,z'
'-x,-y,-z'
'-y,x-y,z'
'y,-x+y,-z'
'-x+y,-x,z'
'x-y,x,-z'
loop_
_atom_site_label
_atom_site_type_symbol
_atom_site_fract_x
_atom_site_fract_y
_atom_site_fract_z
Ba1 Ba 0.0000 0.0000 0.0000
Sr1 Sr 0.0000 0.0000 0.5000
Mn1 Mn 0.3333 0.6667 0.7641
I1 I 0.0067 0.6864 0.2941
I2 I 0.3333 0.6667 0.0061
```